Run A
SrZr2Cl: relaxed, PBE.

a b c (Å): 5.690 5.690 5.690
angles (deg): 130.20 130.20 73.09
Site moments in Bohr magnetons follow the coordinates.
Fractional positions:
1 Zr 0.000 0.000 0.000  0.41
2 Sr 0.750 0.250 0.500  0.03
3 Zr 0.250 0.750 0.500  0.30
4 Cl 0.500 0.500 0.000  0.01

Summary:
SG: I-4m2 (119)



Run B
SrZr2Cl: relaxed, PBE.

a b c (Å): 5.167 5.167 10.300
angles (deg): 75.47 75.47 90.00
Fractional positions:
1 Cl 0.500 0.500 0.000
2 Zr 0.410 0.625 0.250
3 Zr 0.375 0.660 0.750
4 Zr 0.875 0.590 0.750
5 Sr 0.000 0.000 0.000
6 Zr 0.340 0.125 0.250
7 Cl 0.250 0.750 0.500
8 Sr 0.750 0.250 0.500

Summary:
SG: I-42d (122)



Run C
SrZr2Cl: relaxed, PBE.

a b c (Å): 5.627 5.627 3.324
angles (deg): 90.00 90.00 90.00
Fractional positions:
1 Zr 0.000 0.000 0.000
2 Sr 0.000 0.500 0.500
3 Cl 0.500 0.000 0.500
4 Zr 0.500 0.500 0.000

Summary:
SG: P4/mmm (123)



Most stable one: run B, least stable one: run C.



Run A
SrZr2Cl: relaxed, PBE.

a b c (Å): 3.407 3.407 10.505
angles (deg): 90.00 90.00 90.00
Fractional positions:
1 Cl 0.000 0.000 0.564
2 Zr 0.500 0.500 0.196
3 Zr 0.000 0.000 0.015
4 Sr 0.500 0.500 0.724

Summary:
SG: P4mm (99)



Run B
SrZr2Cl: relaxed, PBE.

a b c (Å): 5.624 5.624 6.490
angles (deg): 66.29 66.29 33.30
Fractional positions:
1 Zr 0.814 0.814 0.799
2 Sr 0.188 0.188 0.369
3 Cl 0.452 0.452 0.374
4 Zr 0.047 0.047 0.958

Summary:
SG: Cm (8)



Most stable one: run A, least stable one: run B.



Run A
SrZr2Cl: relaxed, PBE.

a b c (Å): 7.111 7.111 3.314
angles (deg): 90.00 90.00 134.47
Fractional positions:
1 Zr 0.000 0.000 0.000
2 Cl 0.500 0.000 0.500
3 Zr 0.500 0.500 0.000
4 Sr 0.000 0.500 0.500

Summary:
SG: Cmmm (65)



Run B
SrZr2Cl: relaxed, PBE.

a b c (Å): 3.240 3.240 9.459
angles (deg): 90.00 90.00 90.00
Fractional positions:
1 Cl 0.500 0.500 0.250
2 Zr 0.000 0.000 0.434
3 Zr 0.000 0.000 0.066
4 Sr 0.500 0.500 0.750

Summary:
SG: P4/mmm (123)



Most stable one: run B, least stable one: run A.



Run A
SrZr2Cl: relaxed, PBE.

a b c (Å): 10.613 10.613 10.613
angles (deg): 18.09 18.09 18.09
Fractional positions:
1 Zr 0.515 0.515 0.515
2 Zr 0.985 0.985 0.985
3 Cl 0.250 0.250 0.250
4 Sr 0.750 0.750 0.750

Summary:
SG: R-3m (166)



Run B
SrZr2Cl: relaxed, PBE.

a b c (Å): 5.354 5.354 5.354
angles (deg): 60.00 60.00 60.00
Site moments in Bohr magnetons follow the coordinates.
Fractional positions:
1 Zr 0.250 0.250 0.250  0.85
2 Zr 0.000 0.000 0.000  1.01
3 Cl 0.500 0.500 0.500  0.04
4 Sr 0.750 0.750 0.750  0.06

Summary:
SG: F-43m (216)



Most stable one: run A, least stable one: run B.